Below is Dy4Br3NCl2 after structural relaxation, with properties calculated at the GGA-PBE level.

M_tot (μB/cell): 0.00
Final energy (eV/atom): -5.24

abc: 8.8532 8.8532 7.9816
angles: 102.70 102.70 24.13
Last column: nearest neighbours and their distance in Å.
Element x y z (fractional)
Dy: 0.9995 0.9995 0.2000  2 N 2.45, 1 Cl 2.72
Dy: 0.0005 0.0005 0.8000  2 N 2.45, 1 Cl 2.72
Dy: 0.3616 0.3616 0.9279  1 N 2.33
Dy: 0.6384 0.6384 0.0721  1 N 2.33
Br: 0.1714 0.1714 0.8190  4 Dy 2.89-3.21
Br: 0.5000 0.5000 0.5000  4 Dy 3.02
Br: 0.8286 0.8286 0.1810  4 Dy 2.89-3.21
N: 0.5000 0.5000 0.0000  6 Dy 2.33-2.45
Cl: 0.1590 0.1590 0.3282  3 Dy 2.72
Cl: 0.8410 0.8410 0.6718  3 Dy 2.72